(1)
Below is a geometry-optimized LaTbNd6Y2 structure, with properties calculated at the GGA-PBE level.

a = 9.410 Å, b = 15.374 Å, c = 9.734 Å
α = 90.00°, β = 97.18°, γ = 90.00°
Space group C2/c (No. 15)
One atom of each set of equivalent atoms:
La  0.000  0.094  0.250 (multiplicity 4)
Tb  0.000  0.466  0.750 (multiplicity 4)
Nd  0.065  0.326  0.443 (multiplicity 8)
Nd  0.095  0.110  0.619 (multiplicity 8)
Nd  0.209  0.274  0.817 (multiplicity 8)
Y  0.244  0.453  0.049 (multiplicity 8)

Output
- Formation energy from the elements: 115 meV per atom
- Magnetization: 0.0 μB/f.u.

***

(2)
Below is a geometry-optimized NaScV2 structure, with properties calculated at the GGA-PBE level.

a = 6.941 Å, b = 6.941 Å, c = 6.941 Å
α = 90.00°, β = 90.00°, γ = 90.00°
Space group Fm-3m (No. 225)
One atom of each set of equivalent atoms:
Na  0.000  0.000  0.000 (multiplicity 4)
Sc  0.000  0.000  0.500 (multiplicity 4)
V  0.250  0.250  0.250 (multiplicity 8)

Output
- Relative energy among the computed polymorphs: 0.00 eV/f.u.
- Formation energy from the elements: 996 meV per atom
- Magnetization: 7.0 μB/f.u.

***

(3)
Below is a geometry-optimized GaSbCl6 structure, with properties calculated at the GGA-PBE level.

a = 11.030 Å, b = 7.853 Å, c = 13.840 Å
α = 90.00°, β = 103.09°, γ = 90.00°
Space group P2_1/c (No. 14)
One atom of each set of equivalent atoms:
Ga  0.148  0.245  0.074 (multiplicity 4)
Sb  0.244  0.744  0.121 (multiplicity 4)
Cl  0.002  0.105  0.120 (multiplicity 4)
Cl  0.107  0.113  0.437 (multiplicity 4)
Cl  0.229  0.074  0.700 (multiplicity 4)
Cl  0.305  0.064  0.065 (multiplicity 4)
Cl  0.318  0.673  0.787 (multiplicity 4)
Cl  0.433  0.663  0.084 (multiplicity 4)

Output
- Relative energy among the computed polymorphs: 0.00 eV/f.u.
- Uncorrected formation energy: -1.00 eV per atom
- Magnetization: 0.0 μB/f.u.